Entry 1:
Here is a relaxed Tm2GaSi4Ni3 crystal from Alexandria. Energies are from GGA-PBE.

abc: 3.8982 3.8982 9.9783
angles: 90.00 90.00 90.00
Positions (direct):
Si1 0.0000 0.0000 0.0000
Si2 0.0000 0.5000 0.3509
Si3 0.5000 0.0000 0.6491
Tm1 0.5000 0.0000 0.2411
Ni1 0.5000 0.0000 0.8749
Ni2 0.0000 0.5000 0.1251
Si4 0.5000 0.5000 0.0000
Ga1 0.5000 0.5000 0.5000
Tm2 0.0000 0.5000 0.7589
Ni3 0.0000 0.0000 0.5000

Summary:
E = -5.85 eV per atom
Size of the total moment = 0.00 μB/cell
Crystal system = tetragonal
SG = P-4m2
DOS at the Fermi energy = 3.759 states/eV/cell
Formation energy without anion corrections = -0.749 eV per atom

Entry 2:
Here is a relaxed Dy4TeIr2 crystal from Alexandria. Energies are from GGA-PBE.

abc: 8.5232 8.5231 8.5089
angles: 119.96 119.96 90.12
Positions (direct):
Dy1 0.8557 0.1447 0.2889
Dy2 0.3943 0.6053 0.2111
Ir1 0.6250 0.3750 0.2500
Dy3 0.8553 0.1443 0.7112
Dy4 0.4332 0.1440 0.2888
Dy5 0.3947 0.6057 0.7888
Ir2 0.6250 0.3750 0.7500
Dy6 0.3940 0.1832 0.7889
Te1 0.0002 0.9998 0.0000
Ir3 0.1250 0.3750 0.7500
Ir4 0.6250 0.8750 0.2500
Te2 0.2498 0.7502 0.5000
Dy7 0.8168 0.6060 0.2112
Dy8 0.8560 0.5668 0.7111

Summary:
E = -6.44 eV per atom
Size of the total moment = 0.00 μB/cell
Crystal system = tetragonal
SG = I4_1/amd
DOS at the Fermi energy = 1.299 states/eV/cell
Formation energy without anion corrections = -0.828 eV per atom

Entry 3:
Here is a relaxed AlTc2P crystal from Alexandria. Energies are from GGA-PBE.

abc: 3.1101 3.1101 5.6416
angles: 90.00 90.00 90.00
Positions (direct):
Tc1 0.0000 0.0000 0.9624
P1 0.5000 0.5000 0.7569
Al1 0.0000 0.0000 0.4998
Tc2 0.5000 0.5000 0.2809

Summary:
Formation enthalpy at 0 K = -380 meV/atom
E = -7.85 eV per atom
Size of the total moment = 0.00 μB/cell
Crystal system = tetragonal
SG = P4mm
DOS at the Fermi energy = 1.979 states/eV/cell

Entry 4:
Here is a relaxed SrCeNiSe4 crystal from Alexandria. Energies are from GGA-PBE.

abc: 7.0499 5.8790 8.6471
angles: 90.00 106.60 90.00
Last column: magnetic moment on the atom in μB.
Positions (direct):
Ce1 0.7329 0.7500 0.4397  -0.04
Sr1 0.2653 0.2500 0.0650  0.00
Sr2 0.7347 0.7500 0.9350  0.00
Se1 0.4170 0.7500 0.5956  0.03
Se2 0.5830 0.2500 0.4044  0.03
Se3 0.0137 0.5058 0.7346  0.02
Se4 0.5672 0.2500 0.8666  0.04
Ce2 0.2671 0.2500 0.5603  -0.04
Se5 0.9863 0.0058 0.2654  0.02
Se6 0.9863 0.4942 0.2654  0.02
Ni1 0.7500 0.2500 0.6767  0.36
Ni2 0.2500 0.7500 0.3233  0.36
Se7 0.4328 0.7500 0.1334  0.04
Se8 0.0137 0.9942 0.7346  0.02

Summary:
E = -5.23 eV per atom
Size of the total moment = 1.00 μB/cell
Crystal system = monoclinic
SG = P2_1/m
DOS at the Fermi energy = 11.086 states/eV/cell
Formation energy without anion corrections = -1.322 eV per atom

Entry 5:
Here is a relaxed BaAl3C crystal from Alexandria. Energies are from GGA-PBE.

abc: 4.6617 4.6617 4.6617
angles: 90.00 90.00 90.00
Positions (direct):
Ba1 0.5000 0.5000 0.5000
Al1 0.5000 0.0000 0.0000
Al2 0.0000 0.5000 0.0000
Al3 0.0000 0.0000 0.5000
C1 0.0000 0.0000 0.0000

Summary:
Formation enthalpy at 0 K = 695 meV/atom
E = -3.78 eV per atom
Size of the total moment = 0.00 μB/cell
Crystal system = cubic
SG = Pm-3m
DOS at the Fermi energy = 3.718 states/eV/cell

Entry 6:
Here is a relaxed Sr2CrRh crystal from Alexandria. Energies are from GGA-PBE.

abc: 5.3369 5.3369 5.3369
angles: 60.00 60.00 60.00
Last column: magnetic moment on the atom in μB.
Positions (direct):
Sr1 0.7500 0.7500 0.7500  0.04
Rh1 0.5000 0.5000 0.5000  0.14
Cr1 0.0000 0.0000 0.0000  4.05
Sr2 0.2500 0.2500 0.2500  0.04

Summary:
Formation enthalpy at 0 K = 336 meV/atom
E = -4.75 eV per atom
Size of the total moment = 5.02 μB/cell
Crystal system = cubic
SG = Fm-3m
DOS at the Fermi energy = 0.927 states/eV/cell

Entry 7:
Here is a relaxed Mg4Zn3Se2 crystal from Alexandria. Energies are from GGA-PBE.

abc: 7.2323 7.2323 6.3384
angles: 78.52 78.52 35.42
Positions (direct):
Se1 0.6563 0.6563 0.4250
Mg1 0.5024 0.5024 0.2273
Zn1 0.0969 0.0969 0.9564
Se2 0.3437 0.3437 0.5750
Mg2 0.7448 0.7448 0.7860
Zn2 0.0000 0.0000 0.5000
Mg3 0.4976 0.4976 0.7727
Mg4 0.2552 0.2552 0.2140
Zn3 0.9031 0.9031 0.0436

Summary:
E = -2.20 eV per atom
Size of the total moment = 0.00 μB/cell
Crystal system = monoclinic
SG = C2/m
DOS at the Fermi energy = 1.541 states/eV/cell
Formation energy without anion corrections = -0.297 eV per atom

Entry 8:
Here is a relaxed TbTm4Th5 crystal from Alexandria. Energies are from GGA-PBE.

abc: 3.4342 11.0670 8.9352
angles: 73.22 101.08 90.00
Positions (direct):
Tb1 0.5000 0.0000 0.0000
Th1 0.8902 0.2949 0.7804
Tm1 0.9061 0.8103 0.8123
Th2 0.1975 0.4039 0.3950
Tm2 0.0939 0.1897 0.1877
Th3 0.1098 0.7051 0.2196
Th4 0.5000 0.5000 0.0000
Tm3 0.6968 0.9133 0.3936
Tm4 0.3032 0.0867 0.6064
Th5 0.8025 0.5961 0.6050

Summary:
Formation enthalpy at 0 K = 132 meV/atom
E = -5.83 eV per atom
Size of the total moment = 0.00 μB/cell
Crystal system = monoclinic
SG = C2/m
DOS at the Fermi energy = 15.644 states/eV/cell